Entry 1:
Below is a geometry-optimized BaMgPb3 structure, with properties calculated at the GGA-PBE level.

The structure belongs to space group Cm (No. 8); the cell edges are 7.6626, 7.6712 and 6.9729 Å and the angles 90.00°, 123.28° and 90.00°. Symmetry generates all atoms from Ba at (0.0000, 0.0000, 0.0000), Mg at (0.1428, 0.5000, 0.2852), Pb at (0.0033, 0.2498, 0.5062) and Pb at (0.3956, 0.0000, 0.7903).

For the calculated volume, the calculation gives 34.27 Å³/atom. The calculation puts the energy of formation from the pure elements at -0.276 eV per atom. The calculation puts the distance to the lowest polymorph of the same formula at 18 meV/atom.

=====

Entry 2:
Below is a geometry-optimized Mo5Au4 structure, with properties calculated at the GGA-PBE level.

The structure belongs to space group I4/mmm (No. 139); the cell edges are 8.6039, 8.6039 and 4.0168 Å and the angles 90.00°, 90.00° and 90.00°. Symmetry generates all atoms from Mo at (0.0000, 0.0000, 0.0000), Mo at (0.1592, 0.1592, 0.5000) and Au at (0.0000, 0.3280, 0.0000).

For the calculated volume, the calculation gives 16.52 Å³/atom. The calculation puts the energy of formation from the pure elements at 0.177 eV per atom.

=====

Question: Which of these has the lowest calculated volume?
Answer: Mo5Au4